# 1
The following is a DFT calculation (PBE) of a geometry-optimized CeTm5Tl6 structure.

Cell: 7.462 7.462 6.408 Å, 98.33 98.33 96.49°
Fractional coordinates of all 12 atoms:
Ce  0.000  0.000  0.000
Tm  0.164  0.836  0.500
Tm  0.335  0.665  0.000
Tm  0.500  0.500  0.500
Tm  0.665  0.335  0.000
Tm  0.836  0.164  0.500
Tl  0.082  0.425  0.254
Tl  0.253  0.253  0.739
Tl  0.425  0.082  0.254
Tl  0.575  0.918  0.746
Tl  0.747  0.747  0.261
Tl  0.918  0.575  0.746

For the energy above the most stable polymorph in this dataset, the calculation gives 79.3 meV per atom. The density of states at the Fermi level is 1.30 states/eV per atom. For the theoretical density, the calculation gives 10.610 g cm⁻³. The value obtained for the formation energy is -0.1989 eV per atom.

---

# 2
The following is a DFT calculation (PBE) of a geometry-optimized Ce2TmTl2 structure.

Cell: 10.312 4.447 7.744 Å, 90.00 128.07 90.00°
Fractional coordinates of all 10 atoms:
Ce  0.080  0.000  0.409
Ce  0.420  0.500  0.591
Ce  0.580  0.500  0.409
Ce  0.920  0.000  0.591
Tm  0.000  0.500  0.000
Tm  0.500  0.000  0.000
Tl  0.220  0.500  0.816
Tl  0.280  0.000  0.184
Tl  0.720  0.000  0.816
Tl  0.780  0.500  0.184

For the energy above the most stable polymorph in this dataset, the calculation gives 7.6 meV per atom. The density of states at the Fermi level is 1.99 states/eV per atom. For the theoretical density, the calculation gives 10.191 g cm⁻³. The value obtained for the formation energy is -0.1796 eV per atom.

---

# 3
The following is a DFT calculation (PBE) of a geometry-optimized Ce2Tm3Tl3 structure.

Cell: 23.046 3.620 5.387 Å, 90.00 102.20 90.00°
Fractional coordinates of all 16 atoms:
Ce  0.243  0.000  0.199
Ce  0.257  0.500  0.801
Ce  0.743  0.500  0.199
Ce  0.757  0.000  0.801
Tm  0.000  0.000  0.000
Tm  0.123  0.000  0.550
Tm  0.377  0.500  0.450
Tm  0.500  0.500  0.000
Tm  0.623  0.500  0.550
Tm  0.877  0.000  0.450
Tl  0.000  0.500  0.500
Tl  0.121  0.500  0.040
Tl  0.379  0.000  0.960
Tl  0.500  0.000  0.500
Tl  0.621  0.000  0.040
Tl  0.879  0.500  0.960

The density of states at the Fermi level is 1.58 states/eV per atom. For the theoretical density, the calculation gives 10.585 g cm⁻³. The value obtained for the formation energy is -0.2013 eV per atom.

---

# 4
The following is a DFT calculation (PBE) of a geometry-optimized Ce3Tm2Tl6 structure.

Cell: 15.508 15.508 15.508 Å, 162.55 162.55 24.77°
Fractional coordinates of all 11 atoms:
Ce  0.000  0.000  0.000
Ce  0.417  0.417  0.000
Ce  0.583  0.583  0.000
Tm  0.251  0.251  0.000
Tm  0.749  0.749  0.000
Tl  0.102  0.102  0.000
Tl  0.175  0.675  0.500
Tl  0.325  0.825  0.500
Tl  0.675  0.175  0.500
Tl  0.825  0.325  0.500
Tl  0.898  0.898  0.000

The density of states at the Fermi level is 2.12 states/eV per atom. For the theoretical density, the calculation gives 9.830 g cm⁻³. The value obtained for the formation energy is -0.0293 eV per atom.

---

# 5
The following is a DFT calculation (PBE) of a geometry-optimized Ce2Tm5Tl4 structure.

Cell: 10.618 10.618 10.618 Å, 160.98 120.08 63.48°
Fractional coordinates of all 11 atoms:
Ce  0.176  0.176  0.000
Ce  0.824  0.824  0.000
Tm  0.000  0.500  0.500
Tm  0.142  0.815  0.327
Tm  0.488  0.815  0.673
Tm  0.512  0.185  0.327
Tm  0.858  0.185  0.673
Tl  0.251  0.000  0.251
Tl  0.419  0.419  0.000
Tl  0.581  0.581  0.000
Tl  0.749  0.000  0.749

The density of states at the Fermi level is 1.75 states/eV per atom. For the theoretical density, the calculation gives 9.596 g cm⁻³. The value obtained for the formation energy is 0.1102 eV per atom.

---

# 6
The following is a DFT calculation (PBE) of a geometry-optimized CeTmTl6 structure.

Cell: 4.796 4.796 9.550 Å, 90.00 90.00 90.00°
Fractional coordinates of all 8 atoms:
Ce  0.000  0.000  0.000
Tm  0.000  0.000  0.500
Tl  0.000  0.500  0.254
Tl  0.000  0.500  0.746
Tl  0.500  0.000  0.254
Tl  0.500  0.000  0.746
Tl  0.500  0.500  0.000
Tl  0.500  0.500  0.500

The density of states at the Fermi level is 0.97 states/eV per atom. For the theoretical density, the calculation gives 11.604 g cm⁻³. The value obtained for the formation energy is -0.2104 eV per atom.

---

# 7
The following is a DFT calculation (PBE) of a geometry-optimized CeTm2Tl2 structure.

Cell: 6.483 6.483 9.273 Å, 100.80 100.80 46.90°
Fractional coordinates of all 10 atoms:
Ce  0.049  0.049  0.375
Ce  0.951  0.951  0.625
Tm  0.259  0.259  0.754
Tm  0.428  0.428  0.133
Tm  0.572  0.572  0.867
Tm  0.741  0.741  0.246
Tl  0.134  0.134  0.055
Tl  0.355  0.355  0.436
Tl  0.645  0.645  0.564
Tl  0.866  0.866  0.945

For the energy above the most stable polymorph in this dataset, the calculation gives 0.0 meV per atom. The density of states at the Fermi level is 1.36 states/eV per atom. For the theoretical density, the calculation gives 10.571 g cm⁻³. The value obtained for the formation energy is -0.2223 eV per atom.

---

# 8
The following is a DFT calculation (PBE) of a geometry-optimized CeTm3Tl2 structure.

Cell: 5.355 16.780 3.637 Å, 90.00 90.00 90.00°
Fractional coordinates of all 12 atoms:
Ce  0.000  0.000  0.000
Ce  0.500  0.500  0.000
Tm  0.000  0.176  0.500
Tm  0.000  0.500  0.500
Tm  0.000  0.824  0.500
Tm  0.500  0.000  0.500
Tm  0.500  0.324  0.500
Tm  0.500  0.676  0.500
Tl  0.000  0.345  0.000
Tl  0.000  0.655  0.000
Tl  0.500  0.155  0.000
Tl  0.500  0.845  0.000

The density of states at the Fermi level is 1.59 states/eV per atom. For the theoretical density, the calculation gives 10.728 g cm⁻³. The value obtained for the formation energy is -0.1653 eV per atom.

---

# 9
The following is a DFT calculation (PBE) of a geometry-optimized CeTmTlZn structure.

Cell: 7.445 7.445 7.445 Å, 90.00 90.00 90.00°
Fractional coordinates of all 16 atoms:
Ce  0.000  0.000  0.000
Ce  0.000  0.500  0.500
Ce  0.500  0.000  0.500
Ce  0.500  0.500  0.000
Tm  0.000  0.000  0.500
Tm  0.000  0.500  0.000
Tm  0.500  0.000  0.000
Tm  0.500  0.500  0.500
Tl  0.250  0.250  0.250
Tl  0.250  0.750  0.750
Tl  0.750  0.250  0.750
Tl  0.750  0.750  0.250
Zn  0.250  0.250  0.750
Zn  0.250  0.750  0.250
Zn  0.750  0.250  0.250
Zn  0.750  0.750  0.750

The density of states at the Fermi level is 2.44 states/eV per atom. For the theoretical density, the calculation gives 9.318 g cm⁻³. The value obtained for the formation energy is -0.2357 eV per atom.

---

# 10
The following is a DFT calculation (PBE) of a geometry-optimized Ce2UTl structure.

Cell: 3.728 3.728 29.184 Å, 90.00 90.00 120.00°
Fractional coordinates of all 12 atoms:
Ce  0.000  0.000  0.113
Ce  0.000  0.000  0.887
Ce  0.333  0.667  0.553
Ce  0.333  0.667  0.780
Ce  0.667  0.333  0.220
Ce  0.667  0.333  0.447
U  0.000  0.000  0.500
U  0.333  0.667  0.167
U  0.667  0.333  0.833
Tl  0.000  0.000  0.000
Tl  0.333  0.667  0.667
Tl  0.667  0.333  0.333

For the energy above the most stable polymorph in this dataset, the calculation gives 318.9 meV per atom. The density of states at the Fermi level is 1.40 states/eV per atom. For the theoretical density, the calculation gives 10.249 g cm⁻³. The value obtained for the formation energy is 0.3697 eV per atom.

---

# 11
The following is a DFT calculation (PBE) of a geometry-optimized Ce2UTl structure.

Cell: 3.124 3.124 10.242 Å, 90.00 90.00 90.00°
Fractional coordinates of all 4 atoms:
Ce  0.000  0.000  0.238
Ce  0.000  0.000  0.762
U  0.500  0.500  0.000
Tl  0.500  0.500  0.500

For the energy above the most stable polymorph in this dataset, the calculation gives 0.0 meV per atom. The density of states at the Fermi level is 2.34 states/eV per atom. For the theoretical density, the calculation gives 12.007 g cm⁻³. The value obtained for the formation energy is 0.0508 eV per atom.

---

# 12
The following is a DFT calculation (PBE) of a geometry-optimized Ce2UTl structure.

Cell: 4.862 4.862 4.508 Å, 90.00 90.00 90.00°
Fractional coordinates of all 4 atoms:
Ce  0.000  0.500  0.000
Ce  0.500  0.000  0.000
U  0.000  0.000  0.500
Tl  0.500  0.500  0.500

For the energy above the most stable polymorph in this dataset, the calculation gives 101.7 meV per atom. The density of states at the Fermi level is 3.33 states/eV per atom. For the theoretical density, the calculation gives 11.261 g cm⁻³. The value obtained for the formation energy is 0.1525 eV per atom.